First-principles (PBE with a Hubbard U) data for a relaxed structure of Ca2VPbO5, as listed in the Alexandria database.

```
Ca2VPbO5
1.0
1.6162 -7.1906 0.0000
1.6162 7.1906 0.0000
0.0000 0.0000 11.4918
Ca V Pb O
4 2 2 10
direct
0.0956 0.9044 0.5000
0.1380 0.8620 0.0287
0.8620 0.1380 0.5287
0.9044 0.0956 0.0000
0.2433 0.7567 0.7937
0.7567 0.2433 0.2937
0.4701 0.5299 0.2535
0.5299 0.4701 0.7535
0.1293 0.8707 0.6908
0.2047 0.7953 0.2105
0.3151 0.6849 0.9202
0.3319 0.6681 0.3778
0.4834 0.5166 0.5519
0.5166 0.4834 0.0519
0.6681 0.3319 0.8778
0.6849 0.3151 0.4202
0.7953 0.2047 0.7105
0.8707 0.1293 0.1908
```

**Calculated total energy**: -6.60 eV per atom